(1)
## LaMn2 (PBE)

Data for a relaxed structure of LaMn2.

The structure in CIF format:
```
data_LaMn2
_chemical_formula_sum 'La2 Mn4'
_cell_length_a 7.070
_cell_length_b 7.070
_cell_length_c 7.070
_cell_angle_alpha 145.11
_cell_angle_beta 145.11
_cell_angle_gamma 50.17
_symmetry_space_group_name_H-M 'P 1'
_symmetry_Int_Tables_number 1
_symmetry_space_group_name_Hall 'P 1'
loop_
_atom_site_label
_atom_site_fract_x
_atom_site_fract_y
_atom_site_fract_z
_atom_site_occupancy
La1 0.375 0.625 0.750 1
La2 0.625 0.375 0.250 1
Mn1 0.042 0.792 0.250 1
Mn2 0.208 0.958 0.250 1
Mn3 0.792 0.042 0.750 1
Mn4 0.958 0.208 0.750 1
```

Results
- SG: I4_1/amd
- DFT formation energy: 0.4210 eV/atom
- Total moment: 0.0 Bohr magnetons per cell
- E: -7.33 eV per atom

***

(2)
## Au12Se3Br5 (PBE)

Data for a relaxed structure of Au12Se3Br5.

The structure in CIF format:
```
data_Au12Se3Br5
_chemical_formula_sum 'Au48 Se12 Br20'
_cell_length_a 14.033
_cell_length_b 14.033
_cell_length_c 14.033
_cell_angle_alpha 109.47
_cell_angle_beta 109.47
_cell_angle_gamma 109.47
_symmetry_space_group_name_H-M 'P 1'
_symmetry_Int_Tables_number 1
_symmetry_space_group_name_Hall 'P 1'
loop_
_atom_site_label
_atom_site_fract_x
_atom_site_fract_y
_atom_site_fract_z
_atom_site_occupancy
Au1 0.062 0.633 0.368 1
Au2 0.062 0.929 0.694 1
Au3 0.071 0.265 0.133 1
Au4 0.071 0.306 0.938 1
Au5 0.132 0.765 0.694 1
Au6 0.132 0.867 0.438 1
Au7 0.133 0.071 0.265 1
Au8 0.133 0.562 0.868 1
Au9 0.194 0.265 0.632 1
Au10 0.194 0.429 0.562 1
Au11 0.235 0.306 0.868 1
Au12 0.235 0.429 0.367 1
Au13 0.265 0.133 0.071 1
Au14 0.265 0.632 0.194 1
Au15 0.306 0.868 0.235 1
Au16 0.306 0.938 0.071 1
Au17 0.367 0.235 0.429 1
Au18 0.367 0.632 0.938 1
Au19 0.368 0.062 0.633 1
Au20 0.368 0.806 0.735 1
Au21 0.429 0.367 0.235 1
Au22 0.429 0.562 0.194 1
Au23 0.438 0.132 0.867 1
Au24 0.438 0.806 0.571 1
Au25 0.562 0.194 0.429 1
Au26 0.562 0.868 0.133 1
Au27 0.571 0.438 0.806 1
Au28 0.571 0.633 0.765 1
Au29 0.632 0.194 0.265 1
Au30 0.632 0.938 0.367 1
Au31 0.633 0.368 0.062 1
Au32 0.633 0.765 0.571 1
Au33 0.694 0.062 0.929 1
Au34 0.694 0.132 0.765 1
Au35 0.735 0.368 0.806 1
Au36 0.735 0.867 0.929 1
Au37 0.765 0.571 0.633 1
Au38 0.765 0.694 0.132 1
Au39 0.806 0.571 0.438 1
Au40 0.806 0.735 0.368 1
Au41 0.867 0.438 0.132 1
Au42 0.867 0.929 0.735 1
Au43 0.868 0.133 0.562 1
Au44 0.868 0.235 0.306 1
Au45 0.929 0.694 0.062 1
Au46 0.929 0.735 0.867 1
Au47 0.938 0.071 0.306 1
Au48 0.938 0.367 0.632 1
Se1 0.125 0.250 0.375 1
Se2 0.125 0.375 0.750 1
Se3 0.250 0.375 0.125 1
Se4 0.250 0.875 0.625 1
Se5 0.375 0.125 0.250 1
Se6 0.375 0.750 0.125 1
Se7 0.625 0.250 0.875 1
Se8 0.625 0.875 0.750 1
Se9 0.750 0.125 0.375 1
Se10 0.750 0.625 0.875 1
Se11 0.875 0.625 0.250 1
Se12 0.875 0.750 0.625 1
Br1 0.000 0.000 0.000 1
Br2 0.000 0.000 0.500 1
Br3 0.000 0.500 0.000 1
Br4 0.000 0.500 0.500 1
Br5 0.125 0.750 0.875 1
Br6 0.125 0.875 0.250 1
Br7 0.250 0.125 0.875 1
Br8 0.250 0.625 0.375 1
Br9 0.375 0.250 0.625 1
Br10 0.375 0.625 0.750 1
Br11 0.500 0.000 0.000 1
Br12 0.500 0.000 0.500 1
Br13 0.500 0.500 0.000 1
Br14 0.500 0.500 0.500 1
Br15 0.625 0.375 0.250 1
Br16 0.625 0.750 0.375 1
Br17 0.750 0.375 0.625 1
Br18 0.750 0.875 0.125 1
Br19 0.875 0.125 0.750 1
Br20 0.875 0.250 0.125 1
```

Results
- SG: Ia-3d
- Total moment: 0.0 Bohr magnetons per cell
- E: -2.68 eV per atom
- ΔE_f (raw): 0.231 eV/atom

***

(3)
## Dy4IrRu3 (PBE)

Data for a relaxed structure of Dy4IrRu3.

The structure in CIF format:
```
data_Dy4IrRu3
_chemical_formula_sum 'Dy4 Ir1 Ru3'
_cell_length_a 3.403
_cell_length_b 4.820
_cell_length_c 9.620
_cell_angle_alpha 90.00
_cell_angle_beta 90.00
_cell_angle_gamma 90.00
_symmetry_space_group_name_H-M 'P 1'
_symmetry_Int_Tables_number 1
_symmetry_space_group_name_Hall 'P 1'
loop_
_atom_site_label
_atom_site_fract_x
_atom_site_fract_y
_atom_site_fract_z
_atom_site_occupancy
Dy1 0.000 0.000 0.000 1
Dy2 0.000 0.000 0.500 1
Dy3 0.000 0.500 0.247 1
Dy4 0.000 0.500 0.753 1
Ir1 0.500 0.500 0.500 1
Ru1 0.500 0.000 0.250 1
Ru2 0.500 0.000 0.750 1
Ru3 0.500 0.500 0.000 1
```

Results
- SG: Pmmm
- DFT formation energy: -0.4580 eV/atom
- Total moment: 0.0 Bohr magnetons per cell
- E: -7.35 eV per atom

***

(4)
## La8Co3Ir (PBE)

Data for a relaxed structure of La8Co3Ir.

The structure in CIF format:
```
data_La8Co3Ir
_chemical_formula_sum 'La8 Co3 Ir1'
_cell_length_a 8.929
_cell_length_b 8.929
_cell_length_c 8.983
_cell_angle_alpha 107.42
_cell_angle_beta 107.42
_cell_angle_gamma 36.87
_symmetry_space_group_name_H-M 'P 1'
_symmetry_Int_Tables_number 1
_symmetry_space_group_name_Hall 'P 1'
loop_
_atom_site_label
_atom_site_fract_x
_atom_site_fract_y
_atom_site_fract_z
_atom_site_occupancy
La1 0.000 0.000 0.000 1
La2 0.101 0.101 0.643 1
La3 0.211 0.211 0.341 1
La4 0.311 0.311 0.001 1
La5 0.425 0.425 0.658 1
La6 0.533 0.533 0.306 1
La7 0.770 0.770 0.687 1
La8 0.879 0.879 0.320 1
Co1 0.048 0.048 0.299 1
Co2 0.259 0.259 0.688 1
Co3 0.361 0.361 0.295 1
Ir1 0.939 0.939 0.675 1
```

Results
- SG: Cm
- DFT formation energy: -0.1551 eV/atom
- Total moment: 0.0 Bohr magnetons per cell
- E: -5.95 eV per atom

***

(5)
## Pm2TiSiRh6 (PBE)

Data for a relaxed structure of Pm2TiSiRh6.

The structure in CIF format:
```
data_Pm2TiSiRh6
_chemical_formula_sum 'Pm2 Ti1 Si1 Rh6'
_cell_length_a 6.102
_cell_length_b 6.102
_cell_length_c 6.909
_cell_angle_alpha 116.32
_cell_angle_beta 116.32
_cell_angle_gamma 59.97
_symmetry_space_group_name_H-M 'P 1'
_symmetry_Int_Tables_number 1
_symmetry_space_group_name_Hall 'P 1'
loop_
_atom_site_label
_atom_site_fract_x
_atom_site_fract_y
_atom_site_fract_z
_atom_site_occupancy
Pm1 0.233 0.233 0.198 1
Pm2 0.767 0.767 0.802 1
Ti1 0.500 0.500 0.000 1
Si1 0.000 0.000 0.500 1
Rh1 0.247 0.701 0.695 1
Rh2 0.248 0.248 0.695 1
Rh3 0.299 0.753 0.305 1
Rh4 0.701 0.247 0.695 1
Rh5 0.752 0.752 0.305 1
Rh6 0.753 0.299 0.305 1
```

Results
- SG: C2/m
- Total moment: 0.0 Bohr magnetons per cell
- E: -7.20 eV per atom
- ΔE_f (raw): -0.506 eV/atom

***

(6)
## CaPrZnCd (PBE)

Data for a relaxed structure of CaPrZnCd.

The structure in CIF format:
```
data_CaPrZnCd
_chemical_formula_sum 'Ca1 Pr1 Zn1 Cd1'
_cell_length_a 3.767
_cell_length_b 3.767
_cell_length_c 7.636
_cell_angle_alpha 90.00
_cell_angle_beta 90.00
_cell_angle_gamma 90.00
_symmetry_space_group_name_H-M 'P 1'
_symmetry_Int_Tables_number 1
_symmetry_space_group_name_Hall 'P 1'
loop_
_atom_site_label
_atom_site_fract_x
_atom_site_fract_y
_atom_site_fract_z
_atom_site_occupancy
Ca1 0.000 0.000 0.000 1
Pr1 0.000 0.000 0.530 1
Zn1 0.500 0.500 0.759 1
Cd1 0.500 0.500 0.261 1
```

Results
- SG: P4mm
- DFT formation energy: -0.3004 eV/atom
- Total moment: 0.2 Bohr magnetons per cell
- E: -2.54 eV per atom